A geometry-optimized PuZnAu2 structure, computed with GGA-PBE.

Computed properties:
Formation energy from the elements: -0.1975 eV/atom
Volume: 23.8 Å³ per atom
Calculated total energy: -22.95 eV per formula unit
SG: R3m (160)

a b c (Å): 7.0106 7.0106 7.0106
angles (deg): 33.81 33.81 33.81
With the nearest neighbours (Å) after each atom.
Positions (direct):
Pu1 0.0000 0.0000 0.0000  6 Au 3.00-3.02
Zn1 0.1714 0.1714 0.1714  6 Au 2.71-2.79
Au1 0.4292 0.4292 0.4292  3 Zn 2.79, 1 Au 2.84, 3 Pu 3.02
Au2 0.5724 0.5724 0.5724  3 Zn 2.71, 1 Au 2.84, 3 Pu 3.00